{
  "formula": "NaZrAsSe2",
  "functional": "PBE",
  "state": "optimized geometry",
  "lattice": [[-2.915, 2.109, 3.796], [-0.693, -4.403, 1.914], [4.277, 0.608, 2.947]],
  "species": ["Zr", "Na", "Se", "As", "Se"],
  "frac_coords": [[0.500, 0.500, 0.500], [0.000, 0.500, 0.000], [0.500, 0.000, 0.000], [0.000, 0.000, 0.000], [0.000, 0.000, 0.500]],
  "e_tot_ev_per_atom": -3.881,
  "space_group": "P4/mmm, No. 123",
  "relative_energy_ev_per_fu": 5.09,
  "n_ef_per_ev_fu": 5.2,
  "formation_energy_uncorrected_mev_per_atom": 417
}